Density functional theory data (PBE) for an optimized crystal structure of Li4ErPu3S8.

Unit cell a=7.624 b=7.624 c=7.624 alpha=62.32 beta=62.32 gamma=62.32
Element x y z (fractional)
1 Li 0.000 0.000 0.000
2 Li 0.000 0.500 0.500
3 Li 0.500 0.000 0.500
4 Li 0.500 0.500 0.000
5 Er 0.500 0.500 0.500
6 Pu 0.000 0.000 0.500
7 Pu 0.000 0.500 0.000
8 Pu 0.500 0.000 0.000
9 S 0.249 0.249 0.249
10 S 0.252 0.252 0.746
11 S 0.252 0.746 0.252
12 S 0.254 0.748 0.748
13 S 0.746 0.252 0.252
14 S 0.748 0.254 0.748
15 S 0.748 0.748 0.254
16 S 0.751 0.751 0.751

## Properties
raw formation energy: -1620 meV/atom
SG: R-3m, No. 166